The following is a DFT calculation (PBE) of a relaxed structure of TeMoP2.

**DOS(E_F)**: 8.99 states/eV per cell
**Uncorrected energy**: -6.198 eV/atom
**ΔE_f (raw)**: 0 meV per atom

abc: 3.1850 3.1850 25.7179
angles: 90.00 90.00 120.00
Last column: nearest neighbours and their distance in Å.
Space group R-3m (No. 166, hexagonal axes)
Symmetry-distinct sites (fractional):
1 Te 0.0000 0.0000 0.0000 (multiplicity 3)  6 Te 3.19, 6 P 3.23
2 Mo 0.0000 0.0000 0.5000 (multiplicity 3)  6 P 2.46
3 P 0.0000 0.0000 0.2303 (multiplicity 6)  3 Mo 2.46

---

The following is a DFT calculation (PBE) of a relaxed structure of TeMoP2.

**DOS(E_F)**: 3.54 states/eV per cell
**Uncorrected energy**: -5.496 eV/atom
**ΔE_f (raw)**: 703 meV per atom

abc: 3.2699 4.3096 4.9328
angles: 90.00 90.00 90.00
Last column: nearest neighbours and their distance in Å.
Space group Pmmm (No. 47)
Symmetry-distinct sites (fractional):
1 Te 0.0000 0.0000 0.0000 (multiplicity 1)  4 P 2.70, 4 Mo 2.96
2 Mo 0.5000 0.0000 0.5000 (multiplicity 1)  4 P 2.70, 4 Te 2.96
3 P 0.0000 0.5000 0.5000 (multiplicity 1)  4 Mo 2.70, 4 P 2.96
4 P 0.5000 0.5000 0.0000 (multiplicity 1)  4 Te 2.70, 4 P 2.96

---

The following is a DFT calculation (PBE) of a relaxed structure of TeMoP2.

**DOS(E_F)**: 5.94 states/eV per cell
**Uncorrected energy**: -5.575 eV/atom
**ΔE_f (raw)**: 623 meV per atom

abc: 4.5616 4.5616 6.5181
angles: 90.00 90.00 90.00
Last column: nearest neighbours and their distance in Å.
Space group I-4m2 (No. 119)
Symmetry-distinct sites (fractional):
1 Te 0.0000 0.0000 0.0000 (multiplicity 2)  4 Mo 2.80, 4 P 2.80
2 Mo 0.0000 0.5000 0.7500 (multiplicity 2)  4 Te 2.80, 4 P 2.80
3 P 0.0000 0.0000 0.5000 (multiplicity 2)  4 Mo 2.80, 4 P 2.80
4 P 0.0000 0.5000 0.2500 (multiplicity 2)  4 Te 2.80, 4 P 2.80

---

The following is a DFT calculation (PBE) of a relaxed structure of TeMoP2.

**DOS(E_F)**: 8.23 states/eV per cell
**Uncorrected energy**: -5.851 eV/atom
**ΔE_f (raw)**: 347 meV per atom

abc: 5.9925 5.9925 10.9298
angles: 90.00 90.00 90.00
Last column: nearest neighbours and their distance in Å.
Space group I-42d (No. 122)
Symmetry-distinct sites (fractional):
1 Te 0.0000 0.0000 0.0000 (multiplicity 4)  4 P 2.77
2 Mo 0.0000 0.0000 0.5000 (multiplicity 4)  4 P 2.31
3 P 0.1862 0.2500 0.6250 (multiplicity 8)  2 Mo 2.31

---

The following is a DFT calculation (PBE) of a relaxed structure of TeMo2P.

**DOS(E_F)**: 6.49 states/eV per cell
**Uncorrected energy**: -7.282 eV/atom
**E above lowest polymorph**: 0.396 eV/atom
**ΔE_f (raw)**: 271 meV per atom

abc: 3.4337 5.1800 7.9374
angles: 90.00 90.00 90.00
Last column: nearest neighbours and their distance in Å.
Space group Immm (No. 71)
Symmetry-distinct sites (fractional):
1 Te 0.0000 0.0000 0.0000 (multiplicity 2)  8 Mo 2.95-3.03, 4 P 3.11
2 Mo 0.0000 0.5000 0.1984 (multiplicity 4)  2 P 2.33
3 P 0.0000 0.0000 0.5000 (multiplicity 2)  4 Mo 2.33

---

The following is a DFT calculation (PBE) of a relaxed structure of TeMoP2.

**DOS(E_F)**: 6.09 states/eV per cell
**Uncorrected energy**: -5.718 eV/atom
**ΔE_f (raw)**: 480 meV per atom

abc: 3.0228 5.4916 9.4420
angles: 90.00 90.00 90.00
Last column: nearest neighbours and their distance in Å.
Space group Immm (No. 71)
Symmetry-distinct sites (fractional):
1 Te 0.0000 0.0000 0.0000 (multiplicity 2)  2 Te 3.02, 4 Mo 3.13, 8 P 3.21-3.33
2 Mo 0.0000 0.0000 0.5000 (multiplicity 2)  4 P 2.42
3 P 0.0000 0.5000 0.1997 (multiplicity 4)  2 Mo 2.42